No. 1
A PBEsol-optimized structure of La4Ti3S4O8, computed with meta-GGA SCAN.

Structure (extended XYZ):
```
38
Lattice="3.885 0.000 0.000 1.942 9.159 0.010 1.942 3.104 16.653" Properties=species:S:1:pos:R:3 pbc="T T T"
S 3.926 4.506 8.826
S 1.955 5.539 3.168
S 5.839 6.725 13.495
S 3.893 3.353 5.006
S 3.926 7.758 7.838
S 3.869 8.775 15.586
S 3.893 8.911 11.658
S 3.869 3.488 1.078
La 5.857 9.408 9.516
La 1.972 2.856 7.148
La 5.821 9.892 13.713
La 3.914 6.315 1.034
La 3.914 5.949 15.630
La 3.864 5.971 11.404
La 1.936 2.372 2.951
La 3.864 6.293 5.260
O 5.835 6.761 10.060
O 1.983 7.913 1.264
O 1.950 5.503 6.604
O 3.906 7.857 3.176
O 5.868 4.351 15.400
O 1.945 1.059 5.356
O 5.723 11.196 15.806
O 3.877 11.413 13.281
O 5.849 10.487 7.263
O 1.965 1.777 9.400
O 3.877 0.851 3.383
O 1.975 4.212 11.535
O 5.859 8.052 5.129
O 5.829 11.205 11.308
O 3.906 4.406 13.488
O 1.839 1.067 0.858
Ti 5.532 6.132 8.332
Ti 5.931 9.906 5.481
Ti 2.046 2.358 11.183
Ti 5.725 8.164 3.158
Ti 0.711 0.000 0.000
Ti 5.725 4.100 13.506
```

Summary:
**Density**: 5.36 Mg/m³
**Formation energy without anion corrections**: -3.18 eV/atom
**Crystal system**: monoclinic
**Total moment**: 0.0 μB/f.u.
**Symmetry**: C2

=====

No. 2
A PBEsol-optimized structure of LaSb3O, computed with meta-GGA SCAN.

Structure (extended XYZ):
```
5
Lattice="4.824 0.000 0.000 0.000 4.824 0.000 0.000 0.000 4.824" Properties=species:S:1:pos:R:3 pbc="T T T"
Sb 2.412 0.000 0.000
Sb 0.000 0.000 2.412
Sb 0.000 2.412 0.000
O 0.000 0.000 0.000
La 2.412 2.412 2.412
```

Summary:
**Density**: 7.69 Mg/m³
**Formation energy without anion corrections**: -0.71 eV/atom
**Crystal system**: cubic
**Total moment**: 0.0 μB/f.u.
**Symmetry**: Pm-3m

=====

No. 3
A PBEsol-optimized structure of La9Sb5O5, computed with meta-GGA SCAN.

Structure (extended XYZ):
```
38
Lattice="9.269 0.000 0.000 0.000 10.337 0.000 0.000 0.000 10.337" Properties=species:S:1:pos:R:3 pbc="T T T"
La 0.018 2.820 0.831
La 3.188 8.234 1.071
La 9.251 2.348 4.337
La 0.018 7.516 9.505
La 6.081 1.071 2.102
La 3.063 0.000 5.168
La 3.188 2.102 9.265
La 3.188 4.097 3.066
La 6.081 3.066 6.240
La 9.251 9.505 2.820
La 3.188 6.240 7.271
La 6.081 7.271 4.097
La 0.018 4.337 7.989
La 0.018 6.000 2.348
La 6.206 5.168 0.000
La 6.081 9.265 8.234
La 9.251 0.831 7.516
La 9.251 7.989 6.000
Sb 6.510 4.159 3.127
Sb 6.510 8.295 1.009
Sb 6.510 6.178 7.210
Sb 2.857 5.168 0.000
Sb 6.510 2.042 9.327
Sb 2.759 1.009 2.042
Sb 2.759 9.327 8.295
Sb 2.759 7.210 4.159
Sb 2.759 3.127 6.178
Sb 6.412 0.000 5.168
O 0.847 6.427 7.482
O 8.422 2.854 6.427
O 0.847 3.910 2.854
O 8.422 9.078 8.022
O 8.595 5.168 0.000
O 0.847 2.314 9.078
O 8.422 1.258 2.314
O 0.847 8.022 1.258
O 8.422 7.482 3.910
O 0.674 0.000 5.168
```

Summary:
**Density**: 6.50 Mg/m³
**Formation energy without anion corrections**: -2.45 eV/atom
**Crystal system**: tetragonal
**Total moment**: 0.0 μB/f.u.
**Symmetry**: P4/n

=====

No. 4
A PBEsol-optimized structure of LaSbO4, computed with meta-GGA SCAN.

Structure (extended XYZ):
```
24
Lattice="-2.864 1.296 3.999 1.104 -4.729 2.323 10.462 4.393 6.069" Properties=species:S:1:pos:R:3 pbc="T T T"
O 6.122 -1.011 5.128
O 7.544 3.227 6.942
O -0.477 0.703 5.107
O 1.268 -3.465 2.500
O 1.157 -2.267 5.450
O 9.178 0.257 7.285
O -0.725 -0.361 2.417
O 9.426 1.321 9.975
O 7.433 4.425 9.892
O 4.981 2.681 8.518
O 4.930 1.556 5.793
O 3.721 -1.721 3.874
O 2.667 0.755 4.106
O 3.771 -0.596 6.599
O 6.035 0.205 8.286
O 2.580 1.971 7.263
La 7.310 2.165 9.044
La 7.478 -1.511 7.121
La 1.392 -1.206 3.348
La 1.224 2.471 5.271
Sb 4.384 1.051 7.643
Sb -1.408 1.223 3.459
Sb 4.318 -0.091 4.749
Sb 10.109 -0.263 8.933
```

Summary:
**Density**: 6.13 Mg/m³
**Formation energy without anion corrections**: -2.60 eV/atom
**Crystal system**: monoclinic
**Total moment**: 0.0 μB/f.u.
**Symmetry**: P2_1/c

=====

No. 5
A PBEsol-optimized structure of La3SbO7, computed with meta-GGA SCAN.

Structure (extended XYZ):
```
22
Lattice="-5.494 -1.556 -3.535 2.256 -5.275 3.490 -4.435 2.063 5.984" Properties=species:S:1:pos:R:3 pbc="T T T"
La -1.624 -5.139 3.064
La -2.217 1.032 2.992
La -2.521 -1.322 6.075
La 0.000 0.000 0.000
La -5.152 -3.446 -0.134
La -6.049 0.371 2.876
O -2.990 -3.452 1.470
O -7.887 -0.653 1.867
O -4.683 -1.316 4.470
O -0.202 -2.539 1.079
O -3.623 -4.048 4.055
O -4.050 -0.720 1.886
O -2.155 -3.403 7.063
O -5.518 -1.365 -1.123
O -2.105 -1.653 3.648
O -7.471 -2.229 4.861
O -2.146 -1.606 -0.684
O 0.214 -4.115 4.073
O -5.568 -3.115 2.292
O -5.527 -3.162 6.624
Sb -3.837 -2.384 2.970
Sb -1.619 -3.416 -0.022
```

Summary:
**Density**: 6.66 Mg/m³
**Formation energy without anion corrections**: -3.20 eV/atom
**Crystal system**: orthorhombic
**Total moment**: 0.0 μB/f.u.
**Symmetry**: Cmcm

=====

No. 6
A PBEsol-optimized structure of Sr2LaSbO6, computed with meta-GGA SCAN.

Structure (extended XYZ):
```
10
Lattice="-1.408 0.752 -5.828 1.459 -4.255 -4.034 -4.326 -3.381 -2.524" Properties=species:S:1:pos:R:3 pbc="T T T"
O -3.805 -3.065 -7.193
O -1.799 -1.497 -6.023
O -0.470 -3.819 -5.192
O -2.476 -5.386 -6.362
O -3.152 -3.413 -4.492
O -1.123 -3.470 -7.894
Sb -2.137 -3.442 -6.193
Sr -1.069 -1.721 -3.096
Sr -3.206 -5.162 -9.289
La 0.000 0.000 0.000
```

Summary:
**Density**: 5.66 Mg/m³
**Formation energy without anion corrections**: -2.78 eV/atom
**Crystal system**: cubic
**Total moment**: 0.0 μB/f.u.
**Symmetry**: Fm-3m

=====

No. 7
A PBEsol-optimized structure of LaSbTe2O, computed with meta-GGA SCAN.

Structure (extended XYZ):
```
5
Lattice="-1.981 -4.653 3.261 4.698 -3.284 -1.831 3.260 1.982 4.809" Properties=species:S:1:pos:R:3 pbc="T T T"
La 0.000 0.000 0.000
Sb 1.630 0.991 2.405
O 2.988 -2.977 3.120
Te 2.349 -1.642 -0.916
Te -0.991 -2.326 1.630
```

Summary:
**Density**: 3.97 Mg/m³
**Formation energy without anion corrections**: 0.60 eV/atom
**Crystal system**: tetragonal
**Total moment**: 3.5 μB/f.u.
**Symmetry**: P4/mmm

=====

No. 8
A PBEsol-optimized structure of LaZnSbO, computed with meta-GGA SCAN.

Structure (extended XYZ):
```
8
Lattice="4.188 0.000 0.000 0.000 4.188 0.000 0.000 0.000 9.416" Properties=species:S:1:pos:R:3 pbc="T T T"
Zn 2.094 2.094 4.708
Zn 0.000 0.000 4.708
Sb 2.094 0.000 6.419
Sb 0.000 2.094 2.996
O 2.094 2.094 0.000
O 0.000 0.000 0.000
La 2.094 0.000 1.147
La 0.000 2.094 8.269
```

Summary:
**Density**: 6.88 Mg/m³
**Formation energy without anion corrections**: -1.93 eV/atom
**Crystal system**: tetragonal
**Total moment**: 0.0 μB/f.u.
**Symmetry**: P4/nmm